# 1
The following is a PBE calculation of a relaxed Mn3TeI crystal, from Alexandria.

The structure in CIF format:
```
data_Mn3TeI
_chemical_formula_sum 'Mn3 Te1 I1'
_symmetry_space_group_name_H-M 'P m -3 m'
_symmetry_Int_Tables_number 221
_symmetry_space_group_name_Hall '-P 4 2 3'
_cell_length_a 5.127
_cell_length_b 5.127
_cell_length_c 5.127
_cell_angle_alpha 90.00
_cell_angle_beta 90.00
_cell_angle_gamma 90.00
loop_
_atom_site_label
_atom_site_type_symbol
_atom_site_fract_x
_atom_site_fract_y
_atom_site_fract_z
_atom_site_occupancy
Mn1 Mn 0.000 0.000 0.500 1
Te1 Te 0.000 0.000 0.000 1
I1 I 0.500 0.500 0.500 1
```

Calculated total energy = -5.631 eV/atom

***

# 2
The following is a PBE calculation of a relaxed Mn2TeI crystal, from Alexandria.

The structure in CIF format:
```
data_Mn2TeI
_chemical_formula_sum 'Mn8 Te4 I4'
_symmetry_space_group_name_H-M 'I -4 2 d'
_symmetry_Int_Tables_number 122
_symmetry_space_group_name_Hall 'I -4 2bw'
_cell_length_a 5.769
_cell_length_b 5.769
_cell_length_c 11.521
_cell_angle_alpha 90.00
_cell_angle_beta 90.00
_cell_angle_gamma 90.00
loop_
_atom_site_label
_atom_site_type_symbol
_atom_site_fract_x
_atom_site_fract_y
_atom_site_fract_z
_atom_site_occupancy
Mn1 Mn 0.250 0.250 0.125 1
Te1 Te 0.000 0.000 0.000 1
I1 I 0.000 0.000 0.500 1
```

Calculated total energy = -4.972 eV/atom

***

# 3
The following is a PBE calculation of a relaxed TiMnTeI2 crystal, from Alexandria.

The structure in CIF format:
```
data_TiMnTeI2
_chemical_formula_sum 'Ti1 Mn1 Te1 I2'
_symmetry_space_group_name_H-M 'P 4/m m m'
_symmetry_Int_Tables_number 123
_symmetry_space_group_name_Hall '-P 4 2'
_cell_length_a 5.629
_cell_length_b 5.629
_cell_length_c 5.400
_cell_angle_alpha 90.00
_cell_angle_beta 90.00
_cell_angle_gamma 90.00
loop_
_atom_site_label
_atom_site_type_symbol
_atom_site_fract_x
_atom_site_fract_y
_atom_site_fract_z
_atom_site_occupancy
Ti1 Ti 0.000 0.000 0.000 1
Mn1 Mn 0.500 0.500 0.500 1
Te1 Te 0.000 0.000 0.500 1
I1 I 0.000 0.500 0.000 1
```

Calculated total energy = -4.479 eV/atom

***

# 4
The following is a PBE calculation of a relaxed MnTlTeI2 crystal, from Alexandria.

The structure in CIF format:
```
data_MnTlTeI2
_chemical_formula_sum 'Mn1 Tl1 Te1 I2'
_symmetry_space_group_name_H-M 'P 4/m m m'
_symmetry_Int_Tables_number 123
_symmetry_space_group_name_Hall '-P 4 2'
_cell_length_a 5.709
_cell_length_b 5.709
_cell_length_c 5.365
_cell_angle_alpha 90.00
_cell_angle_beta 90.00
_cell_angle_gamma 90.00
loop_
_atom_site_label
_atom_site_type_symbol
_atom_site_fract_x
_atom_site_fract_y
_atom_site_fract_z
_atom_site_occupancy
Mn1 Mn 0.000 0.000 0.000 1
Tl1 Tl 0.500 0.500 0.500 1
Te1 Te 0.000 0.000 0.500 1
I1 I 0.000 0.500 0.000 1
```

Calculated total energy = -3.762 eV/atom

***

# 5
The following is a PBE calculation of a relaxed YMnTeI2 crystal, from Alexandria.

The structure in CIF format:
```
data_YMnTeI2
_chemical_formula_sum 'Y1 Mn1 Te1 I2'
_symmetry_space_group_name_H-M 'P 4/m m m'
_symmetry_Int_Tables_number 123
_symmetry_space_group_name_Hall '-P 4 2'
_cell_length_a 6.004
_cell_length_b 6.004
_cell_length_c 5.939
_cell_angle_alpha 90.00
_cell_angle_beta 90.00
_cell_angle_gamma 90.00
loop_
_atom_site_label
_atom_site_type_symbol
_atom_site_fract_x
_atom_site_fract_y
_atom_site_fract_z
_atom_site_occupancy
Y1 Y 0.000 0.000 0.000 1
Mn1 Mn 0.500 0.500 0.500 1
Te1 Te 0.000 0.000 0.500 1
I1 I 0.000 0.500 0.000 1
```

Calculated total energy = -4.617 eV/atom

***

# 6
The following is a PBE calculation of a relaxed YMnTeI2 crystal, from Alexandria.

The structure in CIF format:
```
data_YMnTeI2
_chemical_formula_sum 'Y1 Mn1 Te1 I2'
_symmetry_space_group_name_H-M 'P 4/m m m'
_symmetry_Int_Tables_number 123
_symmetry_space_group_name_Hall '-P 4 2'
_cell_length_a 5.386
_cell_length_b 5.386
_cell_length_c 5.523
_cell_angle_alpha 90.00
_cell_angle_beta 90.00
_cell_angle_gamma 90.00
loop_
_atom_site_label
_atom_site_type_symbol
_atom_site_fract_x
_atom_site_fract_y
_atom_site_fract_z
_atom_site_occupancy
Y1 Y 0.000 0.000 0.000 1
Mn1 Mn 0.500 0.500 0.500 1
Te1 Te 0.500 0.500 0.000 1
I1 I 0.000 0.500 0.500 1
```

Calculated total energy = -4.504 eV/atom

***

# 7
The following is a PBE calculation of a relaxed MnZnTe2I crystal, from Alexandria.

The structure in CIF format:
```
data_MnZnTe2I
_chemical_formula_sum 'Mn1 Zn1 Te2 I1'
_symmetry_space_group_name_H-M 'P 4/m m m'
_symmetry_Int_Tables_number 123
_symmetry_space_group_name_Hall '-P 4 2'
_cell_length_a 4.951
_cell_length_b 4.951
_cell_length_c 5.790
_cell_angle_alpha 90.00
_cell_angle_beta 90.00
_cell_angle_gamma 90.00
loop_
_atom_site_label
_atom_site_type_symbol
_atom_site_fract_x
_atom_site_fract_y
_atom_site_fract_z
_atom_site_occupancy
Mn1 Mn 0.000 0.000 0.000 1
Zn1 Zn 0.500 0.500 0.500 1
Te1 Te 0.000 0.500 0.000 1
I1 I 0.000 0.000 0.500 1
```

Calculated total energy = -3.189 eV/atom

***

# 8
The following is a PBE calculation of a relaxed MnZnTeI2 crystal, from Alexandria.

The structure in CIF format:
```
data_MnZnTeI2
_chemical_formula_sum 'Mn1 Zn1 Te1 I2'
_symmetry_space_group_name_H-M 'P 4/m m m'
_symmetry_Int_Tables_number 123
_symmetry_space_group_name_Hall '-P 4 2'
_cell_length_a 5.471
_cell_length_b 5.471
_cell_length_c 5.550
_cell_angle_alpha 90.00
_cell_angle_beta 90.00
_cell_angle_gamma 90.00
loop_
_atom_site_label
_atom_site_type_symbol
_atom_site_fract_x
_atom_site_fract_y
_atom_site_fract_z
_atom_site_occupancy
Mn1 Mn 0.000 0.000 0.000 1
Zn1 Zn 0.500 0.500 0.500 1
Te1 Te 0.500 0.500 0.000 1
I1 I 0.000 0.500 0.500 1
```

Calculated total energy = -2.919 eV/atom

***

| no. | ΔE to the lowest computed polymorph (meV per atom) |
| --- | --- |
| 1 | 0 |
| 2 | 0 |
| 3 | 0 |
| 4 | 0 |
| 5 | 0 |
| 6 | 113 |
| 7 | 0 |
| 8 | 0 |